1.
{"formula": "Na3AlH", "functional": "PBE", "state": "relaxed", "total_energy_ev_per_atom": -2.069, "spacegroup": "Pm-3m", "dos_ef_per_ev_fu": 1.79, "lattice_angstrom": [[4.779, 0.000, 0.000], [0.000, 4.779, 0.000], [0.000, 0.000, 4.779]], "species": ["Na", "Na", "Na", "Al", "H"], "frac_coords": [[0.000, 0.000, 0.500], [0.000, 0.500, 0.000], [0.500, 0.000, 0.000], [0.500, 0.500, 0.500], [0.000, 0.000, 0.000]]}


2.
{"formula": "MoOsAu2", "functional": "PBE", "state": "relaxed", "de_polymorph_mev_per_atom": 274.0, "ef_ev_per_atom": 0.44, "total_energy_ev_per_atom": -6.710, "spacegroup": "C2/m", "dos_ef_per_ev_fu": 3.88, "lattice_angstrom": [[4.817, -1.423, 0.000], [4.817, 1.423, 0.000], [-0.822, 0.000, 4.750]], "species": ["Mo", "Os", "Au", "Au"], "frac_coords": [[0.000, 0.000, 0.000], [0.500, 0.500, 0.500], [0.249, 0.249, 0.751], [0.751, 0.751, 0.249]]}